1.
The following is a PBE-GGA calculation of crystalline PuThC2 at its relaxed geometry, from the Alexandria database.

Energy of formation from the pure elements = 0.226 eV per formula unit
SG = No. 160
Energy = -9.993 eV per atom

The structure in POSCAR format:
```
PuThC2
1.0
-2.223 -1.630 -2.306
-0.276 -3.584 -0.002
-5.267 -1.399 3.266
Pu Th C
1 1 2
Direct
0.667 0.667 0.999
0.501 0.501 0.496
0.075 0.075 0.774
0.257 0.257 0.230
```

***

2.
The following is a PBE-GGA calculation of crystalline PuThC at its relaxed geometry, from the Alexandria database.

Energy of formation from the pure elements = -0.155 eV per formula unit
SG = No. 156
Energy = -10.377 eV per atom

The structure in POSCAR format:
```
PuThC
1.0
-0.331 -1.985 5.950
3.446 0.625 0.400
-2.346 2.533 0.715
C Th Pu
1 1 1
Direct
0.008 0.000 0.000
0.765 0.667 0.333
0.227 0.333 0.667
```

***

3.
The following is a PBE-GGA calculation of crystalline PuTh4C4 at its relaxed geometry, from the Alexandria database.

Energy of formation from the pure elements = -1.616 eV per formula unit
SG = No. 87
Energy = -9.169 eV per atom

The structure in POSCAR format:
```
PuTh4C4
1.0
-1.685 -2.169 4.551
3.864 1.022 5.022
-3.766 3.817 3.529
Pu Th C
1 4 4
Direct
0.000 0.000 0.000
0.602 0.595 0.201
0.398 0.405 0.799
0.197 0.201 0.405
0.803 0.799 0.595
0.911 0.383 0.794
0.089 0.617 0.206
0.295 0.794 0.617
0.705 0.206 0.383
```

***

4.
The following is a PBE-GGA calculation of crystalline PuThC at its relaxed geometry, from the Alexandria database.

Energy of formation from the pure elements = 0.872 eV per formula unit
SG = No. 216
Energy = -10.035 eV per atom

The structure in POSCAR format:
```
PuThC
1.0
4.387 0.000 0.000
2.193 3.799 0.000
2.193 1.266 3.582
C Th Pu
1 1 1
Direct
0.250 0.250 0.250
0.500 0.500 0.500
0.000 0.000 0.000
```

***

Which formula does entry 3 have?
PuTh4C4

***

Look up the energy of formation from the pure elements of the fourth one.
0.872 eV per formula unit

***

Which of these has the lowest energy of formation from the pure elements?
PuTh4C4